Entry from the Alexandria database: crystalline KNiPb2 at its relaxed geometry (PBE).

Lattice parameters (Å, degrees): 3.462 6.088 10.683 90.00 90.00 90.00
Space group Immm (No. 71)
Symmetry-distinct sites (fractional):
K 0.000 0.000 0.000
Ni 0.000 0.000 0.500
Pb 0.000 0.500 0.192

Values from the calculation:
- E_tot: -13.888 eV/f.u.
- Total moment: 0.0 μB/f.u.
- Calculated density: 7.6 g/cm3